Entry P
{"formula": "TbDy3Bi3", "functional": "PBE", "state": "relaxed", "lattice_angstrom": [[9.3930, 0.0000, 0.0000], [0.0000, 9.3930, 0.0000], [0.0000, 0.0000, 9.3930]], "species": ["Tb", "Tb", "Tb", "Tb", "Dy", "Dy", "Dy", "Dy", "Dy", "Dy", "Dy", "Dy", "Dy", "Dy", "Dy", "Dy", "Bi", "Bi", "Bi", "Bi", "Bi", "Bi", "Bi", "Bi", "Bi", "Bi", "Bi", "Bi"], "fractional_positions": [[0.0727, 0.4273, 0.5727], [0.4273, 0.5727, 0.0727], [0.5727, 0.0727, 0.4273], [0.9273, 0.9273, 0.9273], [0.0736, 0.5736, 0.9264], [0.1774, 0.1774, 0.1774], [0.1772, 0.8228, 0.3228], [0.3228, 0.1772, 0.8228], [0.3226, 0.8226, 0.6774], [0.4264, 0.4264, 0.4264], [0.5736, 0.9264, 0.0736], [0.6774, 0.3226, 0.8226], [0.6772, 0.6772, 0.6772], [0.8228, 0.3228, 0.1772], [0.8226, 0.6774, 0.3226], [0.9264, 0.0736, 0.5736], [0.0003, 0.2509, 0.8755], [0.9997, 0.7509, 0.6245], [0.1245, 0.5003, 0.2491], [0.2491, 0.1245, 0.5003], [0.2509, 0.8755, 0.0003], [0.3755, 0.4997, 0.7491], [0.5003, 0.2491, 0.1245], [0.4997, 0.7491, 0.3755], [0.6245, 0.9997, 0.7509], [0.7491, 0.3755, 0.4997], [0.7509, 0.6245, 0.9997], [0.8755, 0.0003, 0.2509]], "sg": "P2_13"}

=====

Entry Q
{"formula": "TbDy3Bi3", "functional": "PBE", "state": "relaxed", "lattice_angstrom": [[4.5562, 2.6305, 6.2799], [-4.5562, 2.6305, 6.2799], [0.0000, -5.2611, 6.2799]], "species": ["Tb", "Tb", "Dy", "Dy", "Dy", "Dy", "Dy", "Dy", "Bi", "Bi", "Bi", "Bi", "Bi", "Bi"], "fractional_positions": [[0.1665, 0.1665, 0.1665], [0.8335, 0.8335, 0.8335], [0.1623, 0.4170, 0.6748], [0.3252, 0.8377, 0.5830], [0.4170, 0.6748, 0.1623], [0.5830, 0.3252, 0.8377], [0.6748, 0.1623, 0.4170], [0.8377, 0.5830, 0.3252], [0.0246, 0.8047, 0.4173], [0.1953, 0.5827, 0.9754], [0.4173, 0.0246, 0.8047], [0.5827, 0.9754, 0.1953], [0.8047, 0.4173, 0.0246], [0.9754, 0.1953, 0.5827]], "sg": "R-3"}

=====

Which of them is the most stable, and which is the least stable? entry P and entry Q, in that order.

=====

Entry P
{"formula": "Dy3Bi2Te", "functional": "PBE", "state": "relaxed", "lattice_angstrom": [[2.1879, -7.9218, 0.0000], [2.1879, 7.9218, 0.0000], [0.0000, 0.0000, 10.1933]], "species": ["Dy", "Dy", "Dy", "Dy", "Dy", "Dy", "Bi", "Bi", "Bi", "Bi", "Te", "Te"], "fractional_positions": [[0.1410, 0.8590, 0.7500], [0.3384, 0.6616, 0.5394], [0.3384, 0.6616, 0.9606], [0.6616, 0.3384, 0.0394], [0.6616, 0.3384, 0.4606], [0.8590, 0.1410, 0.2500], [0.0000, 0.0000, 0.0000], [0.0000, 0.0000, 0.5000], [0.4976, 0.5024, 0.7500], [0.5024, 0.4976, 0.2500], [0.2245, 0.7755, 0.2500], [0.7755, 0.2245, 0.7500]], "sg": "Cmcm"}

=====

Entry Q
{"formula": "Dy3Bi2Te", "functional": "PBE", "state": "relaxed", "lattice_angstrom": [[7.9443, -4.6512, 0.0000], [7.9443, 4.6512, 0.0000], [0.0000, 0.0000, 6.1999]], "species": ["Dy", "Dy", "Dy", "Dy", "Dy", "Dy", "Bi", "Bi", "Bi", "Bi", "Te", "Te"], "fractional_positions": [[0.1635, 0.8365, 0.7500], [0.1680, 0.5005, 0.2500], [0.5005, 0.1680, 0.7500], [0.4995, 0.8320, 0.2500], [0.8320, 0.4995, 0.7500], [0.8365, 0.1635, 0.2500], [0.1678, 0.5006, 0.7500], [0.4994, 0.8322, 0.7500], [0.5006, 0.1678, 0.2500], [0.8322, 0.4994, 0.2500], [0.1640, 0.8360, 0.2500], [0.8360, 0.1640, 0.7500]], "sg": "Cmcm"}

=====

Which of them is the most stable, and which is the least stable? entry Q and entry P, in that order.